(1)
# AgAs3

A relaxed structure of AgAs3 (PBE, Alexandria via LeMat-Bulk).

POSCAR file:
```
AgAs3
1.0
4.279 0.000 0.000
0.000 4.279 0.000
0.000 0.000 4.279
Ag As
1 3
Cartesian
0.000 0.000 0.000
0.000 2.140 2.140
2.140 0.000 2.140
2.140 2.140 0.000
```

- Crystal system: cubic
- Space-group type: Pm-3m



(2)
# Ag3As5

A relaxed structure of Ag3As5 (PBE, Alexandria via LeMat-Bulk).

POSCAR file:
```
Ag3As5
1.0
8.387 0.000 0.000
-4.194 7.263 0.000
0.000 0.000 5.650
Ag As
6 10
Cartesian
-2.027 3.511 1.412
-2.166 3.752 4.237
4.055 0.000 1.412
2.027 3.511 4.237
4.332 0.000 4.237
2.166 3.752 1.412
-0.714 1.236 4.237
-3.480 6.027 1.412
1.428 0.000 4.237
0.714 1.236 1.412
0.000 4.842 0.000
0.000 4.842 2.825
4.194 2.421 0.000
4.194 2.421 2.825
6.959 0.000 1.412
3.480 6.027 4.237
```

- Crystal system: hexagonal
- Space-group type: P6_3/mcm



For each record above, in turn, the calculated E_form values are 0.4348 0.2479 eV per atom.
For each record above, in turn, the calculated E values are -15.06 -29.82 eV/f.u..